(1)
Computed, not measured: Li3TiCr2O6 at its PBEsol-relaxed geometry at the meta-GGA SCAN level of DFT. Values from VASP.

Values from the calculation:
The calculation puts the calculated density at 4.3 Mg/m³. The size of the total moment comes out at 5.00 μB/f.u. The calculation puts the raw formation energy at -2.625 eV/atom.

Geometry as Quantum ESPRESSO input:
```
&SYSTEM
  ibrav = 0, nat = 12, ntyp = 4
/
ATOMIC_SPECIES
Li 6.94 Li.upf
Ti 47.87 Ti.upf
Cr 52.00 Cr.upf
O 16.00 O.upf
CELL_PARAMETERS angstrom
6.349 -1.446 0.000
6.349 1.446 0.000
-1.552 0.000 5.631
ATOMIC_POSITIONS crystal
Li 0.000 0.000 0.000
Li 0.330 0.330 0.672
Li 0.670 0.670 0.328
Ti 0.000 0.000 0.500
Cr 0.336 0.336 0.172
Cr 0.664 0.664 0.828
O 0.165 0.165 0.593
O 0.173 0.173 0.064
O 0.499 0.499 0.255
O 0.501 0.501 0.745
O 0.827 0.827 0.936
O 0.835 0.835 0.407
```

(2)
Computed, not measured: TlAg2Pd2 at its PBEsol-relaxed geometry at the meta-GGA SCAN level of DFT. Values from VASP.

Values from the calculation:
The calculation puts the calculated density at 11.7 Mg/m³. The formation energy comes out at -0.023 eV per atom. The size of the total moment comes out at 0.00 μB/f.u.

Geometry as Quantum ESPRESSO input:
```
&SYSTEM
  ibrav = 0, nat = 10, ntyp = 3
/
ATOMIC_SPECIES
Tl 204.38 Tl.upf
Ag 107.87 Ag.upf
Pd 106.42 Pd.upf
CELL_PARAMETERS angstrom
6.931 0.000 0.000
0.000 6.931 0.000
0.000 0.000 3.737
ATOMIC_POSITIONS crystal
Tl 0.000 0.000 0.000
Tl 0.500 0.500 0.000
Ag 0.156 0.344 0.500
Ag 0.344 0.844 0.500
Ag 0.656 0.156 0.500
Ag 0.844 0.656 0.500
Pd 0.138 0.638 0.000
Pd 0.362 0.138 0.000
Pd 0.638 0.862 0.000
Pd 0.862 0.362 0.000
```

(3)
Computed, not measured: MoRhI3 at its PBEsol-relaxed geometry at the meta-GGA SCAN level of DFT. Values from VASP.

Values from the calculation:
The calculation puts the calculated density at 6.5 Mg/m³. The size of the total moment comes out at 4.73 μB/f.u. The calculation puts the raw formation energy at 0.764 eV/atom.

Geometry as Quantum ESPRESSO input:
```
&SYSTEM
  ibrav = 0, nat = 5, ntyp = 3
/
ATOMIC_SPECIES
Mo 95.94 Mo.upf
Rh 102.91 Rh.upf
I 126.90 I.upf
CELL_PARAMETERS angstrom
5.282 0.000 0.000
0.000 5.282 0.000
0.000 0.000 5.282
ATOMIC_POSITIONS crystal
Mo 0.000 0.000 0.000
Rh 0.500 0.500 0.500
I 0.000 0.500 0.500
I 0.500 0.000 0.500
I 0.500 0.500 0.000
```